# 1
# Dy16Er7Th6

A geometry-optimized Dy16Er7Th6 structure (PBE-GGA, the Alexandria database).

Structure (POSCAR):
```
Dy16Er7Th6
1.0
0.000 7.792 7.792
7.792 0.000 7.792
7.792 7.792 0.000
Dy Er Th
16 7 6
Cartesian
10.263 5.322 5.322
1.860 1.860 1.860
5.932 5.932 1.860
5.932 1.860 5.932
5.322 5.322 5.322
10.263 10.263 5.322
10.263 5.322 10.263
13.725 9.652 9.652
1.860 5.932 5.932
5.322 10.263 5.322
5.322 5.322 10.263
10.263 10.263 10.263
9.652 13.725 9.652
9.652 9.652 13.725
13.725 13.725 13.725
5.322 10.263 10.263
0.000 0.000 0.000
3.896 3.896 0.000
3.896 0.000 3.896
7.792 3.896 3.896
0.000 3.896 3.896
3.896 7.792 3.896
3.896 3.896 7.792
7.792 7.792 5.145
7.792 5.145 7.792
10.440 7.792 7.792
5.145 7.792 7.792
7.792 10.440 7.792
7.792 7.792 10.440
```

Properties
V in Å³ per cell: 946.3

---

# 2
# NaTcGe2

A geometry-optimized NaTcGe2 structure (PBE-GGA, the Alexandria database).

Structure (POSCAR):
```
NaTcGe2
1.0
3.152 0.000 0.000
0.000 3.152 0.000
0.000 0.000 7.391
Na Tc Ge
1 1 2
Cartesian
0.000 0.000 0.000
0.000 0.000 3.696
1.576 1.576 2.278
1.576 1.576 5.113
```

Properties
ΔE to the lowest computed polymorph in meV per atom: 0
V in Å³ per cell: 73.4

---

# 3
# TlIr2PdC

A geometry-optimized TlIr2PdC structure (PBE-GGA, the Alexandria database).

Structure (POSCAR):
```
TlIr2PdC
1.0
5.074 0.000 0.000
0.000 5.074 0.000
0.000 0.000 3.672
Tl Ir Pd C
1 2 1 1
Cartesian
0.000 0.000 0.000
0.000 2.537 1.836
2.537 0.000 1.836
2.537 2.537 1.836
2.537 2.537 0.000
```

Properties
V in Å³ per cell: 94.5

---

Computed values of formation enthalpy at 0 K (unit: meV/atom) for the preceding records, in sequence: 305, -91, 1803.
Computed values of N(E_F) (unit: states/eV/cell) for the preceding records, in sequence: 52.315, 2.056, 6.766.